No. 1
Material: LiCe2Si2Pt7
Method: DFT, PBE-GGA
State: relaxed

Calculated values
formation energy (no corrections): -916 meV per atom

Cell: 5.7599 5.6915 13.3470 Å, 90.00 98.52 90.00°
Space group C2/m (No. 12)
Unique sites:
Li 0.0000 0.0000 0.0000 [2 per cell]
Ce 0.1097 0.0000 0.3433 [4 per cell]
Si 0.0846 0.5000 0.2438 [4 per cell]
Pt 0.0000 0.5000 0.0000 [2 per cell]
Pt 0.1238 0.5000 0.4226 [4 per cell]
Pt 0.1992 0.2504 0.8516 [8 per cell]

---

No. 2
Material: TaPdS2Cl
Method: DFT, PBE-GGA
State: relaxed

Calculated values
formation energy (no corrections): 742 meV per atom
ΔE to the lowest computed polymorph: 0.851 eV/atom

Cell: 4.6980 4.6980 4.5838 Å, 90.00 90.00 90.00°
Space group P4/mmm (No. 123)
Unique sites:
Ta 0.0000 0.0000 0.0000 [1 per cell]
Pd 0.5000 0.5000 0.5000 [1 per cell]
S 0.0000 0.5000 0.5000 [2 per cell]
Cl 0.5000 0.5000 0.0000 [1 per cell]

---

No. 3
Material: Tm2CdCu3
Method: DFT, PBE-GGA
State: relaxed

Calculated values
formation energy: -0.21 eV per atom

Cell: 6.8537 8.9398 15.1944 Å, 90.00 90.00 90.00°
Space group Fmmm (No. 69)
Unique sites:
Tm 0.2423 0.0000 0.0000 [8 per cell]
Tm 0.2500 0.2500 0.2500 [8 per cell]
Cd 0.0000 0.0000 0.3338 [8 per cell]
Cu 0.0000 0.0000 0.1609 [8 per cell]
Cu 0.0000 0.2420 0.0815 [16 per cell]

---

No. 4
Material: CrMo2Rh
Method: DFT, PBE-GGA
State: relaxed

Calculated values
formation energy: 0.15 eV per atom
ΔE to the lowest computed polymorph: 0.069 eV/atom

Cell: 3.8439 3.8439 7.9057 Å, 90.00 90.00 90.00°
Space group I-4m2 (No. 119)
Unique sites:
Cr 0.0000 0.0000 0.0000 [2 per cell]
Mo 0.0000 0.0000 0.5000 [2 per cell]
Mo 0.0000 0.5000 0.7500 [2 per cell]
Rh 0.0000 0.5000 0.2500 [2 per cell]

---

No. 5
Material: La3Ag2
Method: DFT, PBE-GGA
State: relaxed

Calculated values
formation energy: -0.11 eV per atom
ΔE to the lowest computed polymorph: 0.093 eV/atom

Cell: 11.3225 16.0247 6.4062 Å, 90.00 90.00 90.00°
Space group Fdd2 (No. 43)
Unique sites:
La 0.0000 0.0000 0.0000 [8 per cell]
La 0.0472 0.3989 0.9876 [16 per cell]
Ag 0.0242 0.2989 0.5290 [16 per cell]

---

No. 6
Material: Ti2Nb3
Method: DFT, PBE-GGA
State: relaxed

Calculated values
formation energy: 0.10 eV per atom
ΔE to the lowest computed polymorph: 0.000 eV/atom

Cell: 9.8351 5.0595 8.6968 Å, 90.00 124.17 90.00°
Space group C2/c (No. 15)
Unique sites:
Ti 0.2004 0.1262 0.1505 [8 per cell]
Nb 0.0000 0.1229 0.7500 [4 per cell]
Nb 0.1023 0.3756 0.4547 [8 per cell]

---

No. 7
Material: Be2AlSi2
Method: DFT, PBE-GGA
State: relaxed

Calculated values
formation energy (no corrections): 277 meV per atom

Cell: 3.7934 3.7934 9.6015 Å, 90.00 90.00 90.00°
Space group I4/mmm (No. 139)
Unique sites:
Be 0.0000 0.5000 0.2500 [4 per cell]
Al 0.0000 0.0000 0.0000 [2 per cell]
Si 0.0000 0.0000 0.3810 [4 per cell]

---

No. 8
Material: YPSO2
Method: DFT, PBE-GGA
State: relaxed

Calculated values
formation energy (no corrections): -742 meV per atom

Cell: 3.9571 3.9571 4.5100 Å, 90.00 90.00 90.00°
Space group P4/mmm (No. 123)
Unique sites:
Y 0.0000 0.0000 0.0000 [1 per cell]
P 0.5000 0.5000 0.0000 [1 per cell]
S 0.5000 0.5000 0.5000 [1 per cell]
O 0.0000 0.5000 0.5000 [2 per cell]

---

No. 9
Material: RbS2Br2
Method: DFT, PBE-GGA
State: relaxed

Calculated values
formation energy (no corrections): -478 meV per atom
ΔE to the lowest computed polymorph: 0.000 eV/atom

Cell: 8.7433 8.7433 4.5421 Å, 90.00 90.00 90.00°
Space group P4/mbm (No. 127)
Unique sites:
Rb 0.0000 0.0000 0.0000 [2 per cell]
S 0.0757 0.4243 0.0000 [4 per cell]
Br 0.2366 0.2634 0.5000 [4 per cell]

---

No. 10
Material: SrPdO3
Method: DFT, PBE-GGA
State: relaxed

Calculated values
formation energy (no corrections): -1121 meV per atom

Cell: 3.9848 3.9848 19.4578 Å, 90.00 90.00 90.00°
Space group I-4m2 (No. 119)
Unique sites:
Sr 0.0000 0.0000 0.0965 [4 per cell]
Pd 0.0000 0.0000 0.5000 [2 per cell]
Pd 0.0000 0.5000 0.2500 [2 per cell]
O 0.0000 0.1804 0.3401 [8 per cell]
O 0.0000 0.5000 0.5194 [4 per cell]

---

No. 11
Material: CaTb3Sm6
Method: DFT, PBE-GGA
State: relaxed

Calculated values
formation energy: 0.22 eV per atom

Cell: 5.6603 9.7716 13.7817 Å, 90.00 114.15 90.00°
Space group P2_1/c (No. 14)
Unique sites:
Ca 0.0000 0.0000 0.0000 [2 per cell]
Tb 0.2533 0.1668 0.7531 [4 per cell]
Tb 0.5000 0.0000 0.5000 [2 per cell]
Sm 0.1081 0.6627 0.1081 [4 per cell]
Sm 0.2534 0.0000 0.2536 [4 per cell]
Sm 0.3868 0.6699 0.3870 [4 per cell]

---

No. 12
Material: KScFe2Br8
Method: DFT, PBE-GGA
State: relaxed

Calculated values
formation energy (no corrections): -1015 meV per atom

Cell: 11.0884 7.6525 9.6816 Å, 90.00 93.84 90.00°
Space group C2/m (No. 12)
Unique sites:
K 0.0000 0.0000 0.0000 [2 per cell]
Sc 0.0000 0.0000 0.5000 [2 per cell]
Fe 0.1286 0.5000 0.2877 [4 per cell]
Br 0.0108 0.2446 0.7007 [8 per cell]
Br 0.2017 0.5000 0.0650 [4 per cell]
Br 0.2394 0.0000 0.5001 [4 per cell]